No. 1
Below is a geometry-optimized Pm8TlPb5 structure, with properties calculated at the PBE-GGA level.

abc: 8.345 8.345 8.345
angles: 109.53 109.36 109.53
Positions (direct):
Pm 0.128 0.752 0.016
Pm 0.984 0.112 0.736
Pm 0.763 0.247 0.372
Pm 0.628 0.391 0.875
Pm 0.484 0.609 0.237
Pm 0.624 0.888 0.872
Pm 0.264 0.248 0.376
Pm 0.125 0.753 0.516
Tl 0.250 0.500 0.750
Pb 0.001 0.376 0.127
Pb 0.873 0.874 0.249
Pb 0.751 0.624 0.625
Pb 0.500 0.000 0.500
Pb 0.375 0.126 0.999

The calculated density comes out at 8.909 g/cm³. The value obtained for the formation energy is -0.525 eV per atom. For the density of states at the Fermi level, the calculation gives 0.731 states/eV/atom.

No. 2
Below is a geometry-optimized Er3Ni7Rh2 structure, with properties calculated at the PBE-GGA level.

abc: 4.999 4.999 8.771
angles: 73.44 73.44 60.00
Site moments in Bohr magnetons follow the coordinates.
Positions (direct):
Er 0.000 0.000 0.000  -0.01
Er 0.861 0.861 0.418  0.05
Er 0.139 0.139 0.582  0.05
Ni 0.500 0.500 0.500  -0.08
Ni 0.916 0.414 0.256  -0.21
Ni 0.414 0.916 0.256  -0.21
Ni 0.414 0.414 0.256  -0.21
Ni 0.084 0.586 0.744  -0.21
Ni 0.586 0.586 0.744  -0.21
Ni 0.586 0.084 0.744  -0.21
Rh 0.667 0.667 0.998  -0.33
Rh 0.333 0.333 0.002  -0.33

The calculated density comes out at 10.360 g/cm³. The value obtained for the formation energy is -0.449 eV per atom. For the density of states at the Fermi level, the calculation gives 1.318 states/eV/atom.

No. 3
Below is a geometry-optimized Rb4Na2I structure, with properties calculated at the PBE-GGA level.

abc: 7.162 7.162 11.331
angles: 108.42 108.42 90.00
Positions (direct):
I 0.000 0.000 0.000
Na 0.614 0.614 0.229
Na 0.386 0.386 0.771
Rb 0.814 0.814 0.629
Rb 0.186 0.186 0.371
Rb 0.000 0.500 0.000
Rb 0.500 0.000 0.000

The calculated density comes out at 1.644 g/cm³. For the density of states at the Fermi level, the calculation gives 0.584 states/eV/atom. The energy relative to the elements, uncorrected is -0.314 eV per atom.

Number 3 is which compound? Rb4Na2I

Look up the calculated density of the first one. 8.909 g/cm³

What is the formula in the third record? Rb4Na2I